#P
NdDyAg4 after structural relaxation, computed with PBE.

Lattice parameters (Å, degrees): 3.4274 4.4571 9.6810 90.00 90.00 89.97
Closest atoms and distances in Å follow each position.
Element x y z (fractional)
Nd (0.5012, 0.4972, 0.9981)  8 Ag 3.18-3.22, 2 Nd 3.43
Dy (0.0012, 0.9973, 0.4981)  8 Ag 3.07-3.09, 2 Dy 3.43
Ag (0.5013, 0.9973, 0.2329)  4 Ag 2.85, 2 Dy 3.09, 2 Nd 3.18
Ag (0.5013, 0.9973, 0.7634)  4 Ag 2.85, 2 Dy 3.09, 2 Nd 3.18
Ag (0.0013, 0.4973, 0.7162)  4 Ag 2.85, 2 Dy 3.07
Ag (0.0013, 0.4973, 0.2801)  4 Ag 2.85, 2 Dy 3.07

Properties
total magnetization = 0.00 μB/f.u.
space group = No. 47

#Q
NdDyAg4 after structural relaxation, computed with PBE.

Lattice parameters (Å, degrees): 5.3543 5.3618 5.4237 60.38 90.05 90.11
Closest atoms and distances in Å follow each position.
Element x y z (fractional)
Nd (0.0013, 0.5018, 0.4954)  10 Ag 3.12-3.14
Dy (0.5013, 0.0019, 0.4954)  10 Ag 3.06-3.15
Ag (0.5013, 0.6769, 0.1454)  5 Ag 3.03-3.30, 3 Dy 3.06-3.15, 2 Nd 3.14
Ag (0.5013, 0.3269, 0.8454)  5 Ag 3.03-3.30, 3 Dy 3.06-3.15, 2 Nd 3.14
Ag (0.0013, 0.1708, 0.1575)  5 Ag 3.05-3.19, 2 Dy 3.12, 3 Nd 3.12
Ag (0.0013, 0.8328, 0.8335)  5 Ag 3.05-3.19, 2 Dy 3.12, 3 Nd 3.12

Properties
total magnetization = 0.00 μB/f.u.
space group = No. 12

#R
NdDyAg4 after structural relaxation, computed with PBE.

Lattice parameters (Å, degrees): 5.7503 5.7503 5.7503 60.00 60.00 60.00
Closest atoms and distances in Å follow each position.
Element x y z (fractional)
Nd (0.0000, 0.0000, 0.0000)  12 Ag 3.37, 4 Dy 3.52
Ag (0.6247, 0.6247, 0.1260)  6 Ag 2.87-2.88
Ag (0.6247, 0.1260, 0.6247)  6 Ag 2.87-2.88
Ag (0.6247, 0.6247, 0.6247)  6 Ag 2.87-2.88
Ag (0.1260, 0.6247, 0.6247)  6 Ag 2.87-2.88
Dy (0.2500, 0.2500, 0.2500)  12 Ag 3.37, 4 Nd 3.52

Properties
total magnetization = 0.00 μB/f.u.
space group = No. 216

Which of them is the most stable, and which is the least stable? #Q and #P, in that order.

#P
NdDy2Ag2 after structural relaxation, computed with PBE.

Lattice parameters (Å, degrees): 3.6622 5.3412 13.6724 90.00 97.67 90.00
Closest atoms and distances in Å follow each position.
Element x y z (fractional)
Nd (0.8545, 0.7500, 0.7095)  6 Ag 3.24-3.30, 2 Dy 3.61
Nd (0.1455, 0.2500, 0.2905)  6 Ag 3.24-3.30, 2 Dy 3.61
Dy (0.0476, 0.7500, 0.0953)  8 Ag 3.08-3.24
Dy (0.9524, 0.2500, 0.9047)  8 Ag 3.08-3.24
Dy (0.2351, 0.7500, 0.4695)  2 Ag 3.10, 4 Dy 3.34
Dy (0.7649, 0.2500, 0.5305)  2 Ag 3.10, 4 Dy 3.34
Ag (0.6428, 0.7500, 0.2850)  4 Dy 3.10-3.16, 4 Nd 3.24
Ag (0.3572, 0.2500, 0.7150)  4 Dy 3.10-3.16, 4 Nd 3.24
Ag (0.4559, 0.7500, 0.9121)  6 Dy 3.08-3.24, 2 Nd 3.30
Ag (0.5441, 0.2500, 0.0879)  6 Dy 3.08-3.24, 2 Nd 3.30

Properties
total magnetization = 0.00 μB/f.u.
space group = No. 11

#Q
NdDy2Ag2 after structural relaxation, computed with PBE.

Lattice parameters (Å, degrees): 4.9443 4.9442 6.7377 110.69 110.69 89.88
Closest atoms and distances in Å follow each position.
Element x y z (fractional)
Nd (0.0000, 0.0000, 0.0000)  8 Ag 3.67-3.81, 8 Dy 3.79-3.86
Dy (0.2499, 0.7501, 0.5000)  4 Ag 2.94-2.95
Dy (0.7501, 0.2499, 0.5000)  4 Ag 2.94-2.95
Ag (0.6190, 0.6190, 0.2250)  1 Ag 2.63, 2 Dy 2.94
Ag (0.3810, 0.3810, 0.7750)  1 Ag 2.63, 2 Dy 2.94

Properties
total magnetization = 0.00 μB/f.u.
space group = No. 12

Which of them is the most stable, and which is the least stable? #P and #Q, in that order.

#P
NdDyAg2 after structural relaxation, computed with PBE.

Lattice parameters (Å, degrees): 3.6607 3.6607 7.5241 90.00 90.00 90.00
Closest atoms and distances in Å follow each position.
Element x y z (fractional)
Nd (0.5000, 0.5000, 0.5000)  8 Ag 3.29, 4 Nd 3.66
Ag (0.0000, 0.0000, 0.7693)  4 Dy 3.12, 4 Nd 3.29, 1 Ag 3.47
Ag (0.0000, 0.0000, 0.2307)  4 Dy 3.12, 4 Nd 3.29, 1 Ag 3.47
Dy (0.5000, 0.5000, 0.0000)  8 Ag 3.12

Properties
total magnetization = 0.00 μB/f.u.
space group = No. 123

#Q
NdDyAg2 after structural relaxation, computed with PBE.

Lattice parameters (Å, degrees): 5.2353 5.2353 5.2353 60.00 60.00 60.00
Closest atoms and distances in Å follow each position.
Element x y z (fractional)
Nd (0.5000, 0.5000, 0.5000)  8 Ag 3.21
Ag (0.2500, 0.2500, 0.2500)  4 Dy 3.21, 4 Nd 3.21
Ag (0.7500, 0.7500, 0.7500)  4 Dy 3.21, 4 Nd 3.21
Dy (0.0000, 0.0000, 0.0000)  8 Ag 3.21

Properties
total magnetization = 0.00 μB/f.u.
space group = No. 225

Which of them is the most stable, and which is the least stable? #P and #Q, in that order.

#P
NdDyAgPd after structural relaxation, computed with PBE.

Lattice parameters (Å, degrees): 5.1362 5.1362 5.1362 60.00 60.00 60.00
Closest atoms and distances in Å follow each position.
Element x y z (fractional)
Nd (0.0000, 0.0000, 0.0000)  4 Ag 3.15, 4 Pd 3.15
Pd (0.7500, 0.7500, 0.7500)  4 Dy 3.15, 4 Nd 3.15
Ag (0.2500, 0.2500, 0.2500)  4 Nd 3.15, 4 Dy 3.15
Dy (0.5000, 0.5000, 0.5000)  4 Pd 3.15, 4 Ag 3.15

Properties
total magnetization = 0.00 μB/f.u.
space group = No. 216

#Q
NdDyAgPd after structural relaxation, computed with PBE.

Lattice parameters (Å, degrees): 3.8229 4.7729 5.7599 90.00 109.38 90.00
Closest atoms and distances in Å follow each position.
Element x y z (fractional)
Nd (0.8584, 0.5000, 0.7169)  3 Pd 2.98-3.11, 4 Ag 3.13
Dy (0.1373, 0.0000, 0.2746)  3 Ag 3.04-3.07, 4 Pd 3.11
Ag (0.4202, 0.0000, 0.8404)  2 Pd 2.98, 3 Dy 3.04-3.07, 4 Nd 3.13
Pd (0.5841, 0.5000, 0.1681)  2 Ag 2.98, 3 Nd 2.98-3.11, 4 Dy 3.11

Properties
total magnetization = 0.00 μB/f.u.
space group = No. 38

Which of them is the most stable, and which is the least stable? #Q and #P, in that order.

#P
PmNdDyAg after structural relaxation, computed with PBE.

Lattice parameters (Å, degrees): 5.4757 5.4757 5.4757 60.00 60.00 60.00
Closest atoms and distances in Å follow each position.
Element x y z (fractional)
Pm (0.2500, 0.2500, 0.2500)  4 Nd 3.35, 4 Dy 3.35
Nd (0.0000, 0.0000, 0.0000)  4 Pm 3.35, 4 Ag 3.35
Ag (0.7500, 0.7500, 0.7500)  4 Dy 3.35, 4 Nd 3.35
Dy (0.5000, 0.5000, 0.5000)  4 Ag 3.35, 4 Pm 3.35

Properties
total magnetization = 0.00 μB/f.u.
space group = No. 216

#Q
PmNdDyAg after structural relaxation, computed with PBE.

Lattice parameters (Å, degrees): 3.6678 3.6678 8.8391 90.00 90.00 90.00
Closest atoms and distances in Å follow each position.
Element x y z (fractional)
Pm (0.5000, 0.5000, 0.7831)  4 Ag 3.26
Nd (0.0000, 0.0000, 0.0772)  4 Dy 3.63, 4 Nd 3.67, 4 Pm 3.67
Dy (0.5000, 0.5000, 0.3643)  4 Ag 3.12
Ag (0.0000, 0.0000, 0.5601)  4 Dy 3.12, 4 Pm 3.26

Properties
total magnetization = 0.00 μB/f.u.
space group = No. 99

Which of them is the most stable, and which is the least stable? #Q and #P, in that order.

#P
PrNdDyAg after structural relaxation, computed with PBE.

Lattice parameters (Å, degrees): 3.6898 3.6898 8.8605 90.00 90.00 90.00
Closest atoms and distances in Å follow each position.
Element x y z (fractional)
Pr (0.0000, 0.0000, 0.0791)  4 Dy 3.64, 4 Pr 3.69, 4 Nd 3.70
Nd (0.5000, 0.5000, 0.7827)  4 Ag 3.29
Dy (0.5000, 0.5000, 0.3658)  4 Ag 3.11
Ag (0.0000, 0.0000, 0.5571)  4 Dy 3.11, 4 Nd 3.29

Properties
total magnetization = 0.00 μB/f.u.
space group = No. 99

#Q
PrNdDyAg after structural relaxation, computed with PBE.

Lattice parameters (Å, degrees): 5.5097 5.5097 5.5097 60.00 60.00 60.00
Closest atoms and distances in Å follow each position.
Element x y z (fractional)
Pr (0.7500, 0.7500, 0.7500)  4 Dy 3.37, 4 Ag 3.37
Nd (0.2500, 0.2500, 0.2500)  4 Dy 3.37, 4 Ag 3.37
Ag (0.0000, 0.0000, 0.0000)  4 Nd 3.37, 4 Pr 3.37
Dy (0.5000, 0.5000, 0.5000)  4 Pr 3.37, 4 Nd 3.37

Properties
total magnetization = 0.00 μB/f.u.
space group = No. 216

Which of them is the most stable, and which is the least stable? #P and #Q, in that order.